(1)
{"formula": "NaSb2TePt", "functional": "PBE", "state": "relaxed", "cell": [[5.2292, 0.0000, 0.0000], [0.0000, 5.2292, 0.0000], [0.0000, 0.0000, 5.8117]], "species": ["Na", "Sb", "Sb", "Te", "Pt"], "frac_coords": [[0.0000, 0.0000, 0.0000], [0.0000, 0.5000, 0.5000], [0.5000, 0.0000, 0.5000], [0.5000, 0.5000, 0.0000], [0.5000, 0.5000, 0.5000]], "mass_density_g_cm3": 6.2, "magnetic_moment_mub_per_cell": 0.00, "crystal_system": "tetragonal", "space_group": "P4/mmm, No. 123", "formation_energy_uncorrected_ev_per_atom": 0.05, "relative_energy_mev_per_atom": 0}



(2)
{"formula": "TaNb2RuN", "functional": "PBE", "state": "relaxed", "cell": [[4.2421, 0.0000, 0.0000], [0.0000, 4.2421, 0.0000], [0.0000, 0.0000, 4.2034]], "species": ["Ta", "Nb", "Nb", "Ru", "N"], "frac_coords": [[0.0000, 0.0000, 0.0000], [0.0000, 0.5000, 0.5000], [0.5000, 0.0000, 0.5000], [0.5000, 0.5000, 0.0000], [0.0000, 0.0000, 0.5000]], "mass_density_g_cm3": 10.6, "magnetic_moment_mub_per_cell": 0.00, "crystal_system": "tetragonal", "space_group": "P4/mmm, No. 123", "formation_energy_uncorrected_ev_per_atom": -0.44}



(3)
{"formula": "PuHgGe2", "functional": "PBE", "state": "relaxed", "cell": [[2.4881, 1.4365, 4.0471], [-2.4881, 1.4365, 4.0471], [0.0000, -2.8730, 4.0471]], "species": ["Pu", "Hg", "Ge", "Ge"], "frac_coords": [[0.0000, 0.0000, 0.0000], [0.5000, 0.5000, 0.5000], [0.2502, 0.2502, 0.2502], [0.7498, 0.7498, 0.7498]], "mass_density_g_cm3": 11.3, "ef_ev_per_atom": -0.0441, "magnetic_moment_mub_per_cell": 5.68, "crystal_system": "trigonal", "space_group": "R-3m, No. 166"}



(4)
{"formula": "NaLiPRh", "functional": "PBE", "state": "relaxed", "cell": [[3.9329, 0.0000, 0.0000], [0.0000, 3.9329, 0.0000], [0.0000, 0.0000, 11.0143]], "species": ["Na", "Na", "Li", "Li", "P", "P", "Rh", "Rh"], "frac_coords": [[0.2500, 0.2500, 0.2416], [0.7500, 0.7500, 0.7584], [0.2500, 0.7500, 0.5000], [0.7500, 0.2500, 0.5000], [0.2500, 0.2500, 0.8806], [0.7500, 0.7500, 0.1194], [0.2500, 0.7500, 0.0000], [0.7500, 0.2500, 0.0000]], "mass_density_g_cm3": 3.2, "ef_ev_per_atom": -0.3662, "magnetic_moment_mub_per_cell": 0.00, "crystal_system": "tetragonal", "space_group": "P4/nmm, No. 129"}



(5)
{"formula": "AcIn2RuO8", "functional": "PBE", "state": "relaxed", "cell": [[4.9601, 0.0000, 0.0000], [0.0000, 6.9273, 0.0000], [-0.0237, 0.0000, 4.9733]], "species": ["Ac", "In", "In", "Ru", "O", "O", "O", "O", "O", "O", "O", "O"], "frac_coords": [[0.0000, 0.0000, 0.0000], [0.5000, 0.2626, 0.5000], [0.5000, 0.7374, 0.5000], [0.0000, 0.5000, 0.0000], [0.1903, 0.3020, 0.1877], [0.1903, 0.6980, 0.1877], [0.2823, 0.5000, 0.7155], [0.3265, 0.0000, 0.6718], [0.6735, 0.0000, 0.3282], [0.7177, 0.5000, 0.2845], [0.8097, 0.3020, 0.8123], [0.8097, 0.6980, 0.8123]], "mass_density_g_cm3": 6.7, "magnetic_moment_mub_per_cell": 1.33, "crystal_system": "monoclinic", "space_group": "P2/m, No. 10", "formation_energy_uncorrected_ev_per_atom": -1.49}



(6)
{"formula": "La2YTlO", "functional": "PBE", "state": "relaxed", "cell": [[5.1010, 0.0000, 0.0000], [0.0000, 5.1010, 0.0000], [0.0000, 0.0000, 4.8341]], "species": ["La", "La", "Y", "Tl", "O"], "frac_coords": [[0.0000, 0.5000, 0.0000], [0.5000, 0.0000, 0.0000], [0.0000, 0.0000, 0.5000], [0.5000, 0.5000, 0.5000], [0.0000, 0.0000, 0.0000]], "mass_density_g_cm3": 7.8, "magnetic_moment_mub_per_cell": 0.00, "crystal_system": "tetragonal", "space_group": "P4/mmm, No. 123", "formation_energy_uncorrected_ev_per_atom": -1.36, "relative_energy_mev_per_atom": 0}



(7)
{"formula": "RbSr2GaPd", "functional": "PBE", "state": "relaxed", "cell": [[6.0745, 0.0000, 0.0000], [0.0000, 6.0745, 0.0000], [0.0000, 0.0000, 5.0549]], "species": ["Rb", "Sr", "Sr", "Ga", "Pd"], "frac_coords": [[0.0000, 0.0000, 0.0000], [0.0000, 0.5000, 0.5000], [0.5000, 0.0000, 0.5000], [0.5000, 0.5000, 0.0000], [0.5000, 0.5000, 0.5000]], "mass_density_g_cm3": 3.9, "ef_ev_per_atom": -0.2159, "magnetic_moment_mub_per_cell": 0.50, "crystal_system": "tetragonal", "space_group": "P4/mmm, No. 123"}



(8)
{"formula": "Tb2AlSiPd6", "functional": "PBE", "state": "relaxed", "cell": [[5.5586, 0.0000, 0.0000], [2.7356, 5.0366, 0.0000], [0.0802, 2.8080, 6.7086]], "species": ["Tb", "Tb", "Al", "Si", "Pd", "Pd", "Pd", "Pd", "Pd", "Pd"], "frac_coords": [[0.1459, 0.0123, 0.2343], [0.8541, 0.9877, 0.7657], [0.5000, 0.5000, 0.0000], [0.0000, 0.5000, 0.5000], [0.1024, 0.5503, 0.1744], [0.3513, 0.5294, 0.6609], [0.3530, 0.0077, 0.6698], [0.6470, 0.9923, 0.3302], [0.6487, 0.4706, 0.3391], [0.8976, 0.4497, 0.8256]], "mass_density_g_cm3": 8.9, "magnetic_moment_mub_per_cell": 0.00, "crystal_system": "triclinic", "space_group": "P-1, No. 2", "formation_energy_uncorrected_ev_per_atom": -0.75}



(9)
{"formula": "CaMg2Te", "functional": "PBE", "state": "relaxed", "cell": [[-2.1789, 2.1789, 6.0184], [2.1789, -2.1789, 6.0184], [2.1789, 2.1789, -6.0184]], "species": ["Ca", "Mg", "Mg", "Te"], "frac_coords": [[0.0000, 0.0000, 0.0000], [0.2500, 0.7500, 0.5000], [0.7500, 0.2500, 0.5000], [0.5000, 0.5000, 0.0000]], "mass_density_g_cm3": 3.1, "magnetic_moment_mub_per_cell": 0.00, "crystal_system": "tetragonal", "space_group": "I4/mmm, No. 139", "formation_energy_uncorrected_ev_per_atom": -0.49}



(10)
{"formula": "VSi2S2", "functional": "PBE", "state": "relaxed", "cell": [[-1.6585, 1.6585, 7.4734], [1.6585, -1.6585, 7.4734], [1.6585, 1.6585, -7.4734]], "species": ["V", "Si", "Si", "S", "S"], "frac_coords": [[0.0000, 0.0000, 0.0000], [0.2500, 0.7500, 0.5000], [0.7500, 0.2500, 0.5000], [0.4088, 0.4088, 0.0000], [0.5912, 0.5912, 0.0000]], "mass_density_g_cm3": 3.5, "magnetic_moment_mub_per_cell": 2.44, "crystal_system": "tetragonal", "space_group": "I4/mmm, No. 139", "formation_energy_uncorrected_ev_per_atom": 0.15, "relative_energy_mev_per_atom": 0}



(11)
{"formula": "PmPr2Sm8", "functional": "PBE", "state": "relaxed", "cell": [[9.2838, -2.5779, 0.0000], [9.2838, 2.5779, 0.0000], [-2.1461, 0.0000, 7.8716]], "species": ["Pm", "Pr", "Pr", "Sm", "Sm", "Sm", "Sm", "Sm", "Sm", "Sm", "Sm"], "frac_coords": [[0.0000, 0.0000, 0.0000], [0.2728, 0.2728, 0.3629], [0.7272, 0.7272, 0.6371], [0.0901, 0.0901, 0.4542], [0.1815, 0.1815, 0.9086], [0.3643, 0.3643, 0.8204], [0.4552, 0.4552, 0.2726], [0.5448, 0.5448, 0.7274], [0.6357, 0.6357, 0.1796], [0.8185, 0.8185, 0.0914], [0.9099, 0.9099, 0.5458]], "mass_density_g_cm3": 7.2, "ef_ev_per_atom": 0.0147, "magnetic_moment_mub_per_cell": 0.00, "crystal_system": "monoclinic", "space_group": "C2/m, No. 12", "relative_energy_mev_per_atom": 0}



(12)
{"formula": "MgTl2As2", "functional": "PBE", "state": "relaxed", "cell": [[6.8801, 0.0000, 0.0000], [0.0000, 6.8801, 0.0000], [0.0000, 0.0000, 5.5302]], "species": ["Mg", "Mg", "Tl", "Tl", "Tl", "Tl", "As", "As", "As", "As"], "frac_coords": [[0.0000, 0.0000, 0.0000], [0.5000, 0.5000, 0.0000], [0.1790, 0.3210, 0.5000], [0.3210, 0.8210, 0.5000], [0.6790, 0.1790, 0.5000], [0.8210, 0.6790, 0.5000], [0.1253, 0.6253, 0.0000], [0.3747, 0.1253, 0.0000], [0.6253, 0.8747, 0.0000], [0.8747, 0.3747, 0.0000]], "mass_density_g_cm3": 7.4, "ef_ev_per_atom": -0.1263, "magnetic_moment_mub_per_cell": 0.00, "crystal_system": "tetragonal", "space_group": "P4/mbm, No. 127", "relative_energy_mev_per_atom": 0}